DFT (meta-GGA SCAN) results for a crystal of Sr3RuI relaxed with PBEsol.

Cell lengths 5.706, 5.706, 5.706 Å; angles 90.00, 90.00, 90.00 degrees
Fractional coordinates of all 5 atoms:
Sr (0.000, 0.000, 0.500)
Sr (0.000, 0.500, 0.000)
Sr (0.500, 0.000, 0.000)
Ru (0.000, 0.000, 0.000)
I (0.500, 0.500, 0.500)

Calculated values
Formation energy without anion corrections = -0.14 eV per atom
SG = Pm-3m (221)

---

DFT (meta-GGA SCAN) results for a crystal of Sc3Cd2 relaxed with PBEsol.

Cell lengths 12.448, 12.448, 12.448 Å; angles 14.98, 14.98, 14.98 degrees
Fractional coordinates of all 5 atoms:
Sc (0.000, 0.000, 0.000)
Sc (0.201, 0.201, 0.201)
Sc (0.799, 0.799, 0.799)
Cd (0.399, 0.399, 0.399)
Cd (0.601, 0.601, 0.601)

Calculated values
SG = R-3m (166)
Energy relative to the elements = -0.86 eV/f.u.

---

DFT (meta-GGA SCAN) results for a crystal of CdSb2PS relaxed with PBEsol.

Cell lengths 5.488, 5.488, 4.601 Å; angles 90.00, 90.00, 90.00 degrees
Fractional coordinates of all 5 atoms:
Cd (0.000, 0.000, 0.000)
Sb (0.000, 0.500, 0.000)
Sb (0.500, 0.000, 0.000)
P (0.000, 0.000, 0.500)
S (0.500, 0.500, 0.500)

Calculated values
Formation energy without anion corrections = 1.16 eV per atom
SG = P4/mmm (123)

---

DFT (meta-GGA SCAN) results for a crystal of HgSbO2 relaxed with PBEsol.

Cell lengths 6.968, 6.968, 6.968 Å; angles 28.25, 28.25, 28.25 degrees
Fractional coordinates of all 4 atoms:
Hg (0.000, 0.000, 0.000)
Sb (0.500, 0.500, 0.500)
O (0.398, 0.398, 0.398)
O (0.602, 0.602, 0.602)

Calculated values
Formation energy without anion corrections = -0.35 eV per atom
SG = R-3m (166)

---

DFT (meta-GGA SCAN) results for a crystal of CrFe2Ru relaxed with PBEsol.

Cell lengths 2.527, 2.527, 7.045 Å; angles 90.00, 90.00, 90.00 degrees
Fractional coordinates of all 4 atoms:
Cr (0.000, 0.000, 0.000)
Fe (0.000, 0.000, 0.470)
Fe (0.500, 0.500, 0.237)
Ru (0.500, 0.500, 0.730)

Calculated values
SG = P4mm (99)
Energy relative to the elements = 0.98 eV/f.u.

---

DFT (meta-GGA SCAN) results for a crystal of Li2AgAu relaxed with PBEsol.

Cell lengths 4.463, 4.463, 4.463 Å; angles 60.00, 60.00, 60.00 degrees
Fractional coordinates of all 4 atoms:
Li (0.000, 0.000, 0.000)
Li (0.250, 0.250, 0.250)
Ag (0.750, 0.750, 0.750)
Au (0.500, 0.500, 0.500)

Calculated values
SG = F-43m (216)
Energy relative to the elements = -1.62 eV/f.u.

---

DFT (meta-GGA SCAN) results for a crystal of AsOsF2 relaxed with PBEsol.

Cell lengths 5.588, 5.588, 5.588 Å; angles 99.95, 99.95, 130.88 degrees
Fractional coordinates of all 8 atoms:
As (0.000, 0.000, 0.000)
As (0.750, 0.250, 0.500)
Os (0.250, 0.750, 0.500)
Os (0.500, 0.500, 0.000)
F (0.235, 0.125, 0.610)
F (0.375, 0.765, 0.890)
F (0.515, 0.625, 0.390)
F (0.875, 0.485, 0.110)

Calculated values
Formation energy without anion corrections = -0.30 eV per atom
SG = I-42d (122)

---

DFT (meta-GGA SCAN) results for a crystal of LaCdRh3 relaxed with PBEsol.

Cell lengths 4.811, 4.811, 4.811 Å; angles 90.00, 90.00, 90.00 degrees
Fractional coordinates of all 5 atoms:
La (0.000, 0.000, 0.000)
Cd (0.500, 0.500, 0.500)
Rh (0.000, 0.000, 0.500)
Rh (0.000, 0.500, 0.000)
Rh (0.500, 0.000, 0.000)

Calculated values
SG = Pm-3m (221)
Energy relative to the elements = 4.76 eV/f.u.

---

DFT (meta-GGA SCAN) results for a crystal of Li2CuPb relaxed with PBEsol.

Cell lengths 3.947, 3.947, 4.280 Å; angles 90.00, 90.00, 90.00 degrees
Fractional coordinates of all 4 atoms:
Li (0.000, 0.500, 0.000)
Li (0.500, 0.000, 0.000)
Cu (0.000, 0.000, 0.500)
Pb (0.500, 0.500, 0.500)

Calculated values
SG = P4/mmm (123)
Energy relative to the elements = -0.68 eV/f.u.

---

DFT (meta-GGA SCAN) results for a crystal of CoIO3 relaxed with PBEsol.

Cell lengths 3.766, 3.766, 3.766 Å; angles 90.00, 90.00, 90.00 degrees
Fractional coordinates of all 5 atoms:
Co (0.000, 0.000, 0.000)
I (0.500, 0.500, 0.500)
O (0.000, 0.000, 0.500)
O (0.000, 0.500, 0.000)
O (0.500, 0.000, 0.000)

Calculated values
Formation energy without anion corrections = -0.25 eV per atom
SG = Pm-3m (221)

---

DFT (meta-GGA SCAN) results for a crystal of K3NiPb relaxed with PBEsol.

Cell lengths 5.960, 5.960, 5.960 Å; angles 90.00, 90.00, 90.00 degrees
Fractional coordinates of all 5 atoms:
K (0.000, 0.000, 0.500)
K (0.000, 0.500, 0.000)
K (0.500, 0.000, 0.000)
Ni (0.000, 0.000, 0.000)
Pb (0.500, 0.500, 0.500)

Calculated values
SG = Pm-3m (221)
Energy relative to the elements = 2.84 eV/f.u.

---

DFT (meta-GGA SCAN) results for a crystal of AsPtSe2F relaxed with PBEsol.

Cell lengths 4.759, 4.759, 3.970 Å; angles 90.00, 90.00, 90.00 degrees
Fractional coordinates of all 5 atoms:
As (0.000, 0.000, 0.000)
Pt (0.500, 0.500, 0.000)
Se (0.000, 0.500, 0.500)
Se (0.500, 0.000, 0.500)
F (0.000, 0.000, 0.500)

Calculated values
Formation energy without anion corrections = 0.80 eV per atom
SG = P4/mmm (123)